# 1
A geometry-optimized TiHCl3 structure. Source: Alexandria, functional PBE.

Structure (CIF):
```
data_TiHCl3
_chemical_formula_sum 'Ti4 H4 Cl12'
_space_group_name_H-M_alt 'I m a 2'
_space_group_IT_number 46
_cell_length_a 7.725
_cell_length_b 11.428
_cell_length_c 7.364
_cell_angle_alpha 90.00
_cell_angle_beta 90.00
_cell_angle_gamma 90.00
loop_
_space_group_symop_operation_xyz
'x,y,z'
'-x,-y,z'
'-x+1/2,y,z'
'x+1/2,-y,z'
'x+1/2,y+1/2,z+1/2'
'-x+1/2,-y+1/2,z+1/2'
'-x,y+1/2,z+1/2'
'x,-y+1/2,z+1/2'
loop_
_atom_site_label
_atom_site_type_symbol
_atom_site_fract_x
_atom_site_fract_y
_atom_site_fract_z
Ti1 Ti 0.250 0.241 0.000
H1 H 0.250 0.245 0.750
Cl1 Cl 0.001 0.167 0.496
Cl2 Cl 0.250 0.050 0.008
```

Computed properties:
- N(E_F) (states/eV per cell) = 0.00
- M_tot (μB/atom) = 0.0000
- polymorph energy (0 for the lowest one) (eV per formula unit) = 0.00
- final energy (eV/atom) = -4.49


# 2
A geometry-optimized TiH2Cl6 structure. Source: Alexandria, functional PBE.

Structure (CIF):
```
data_TiH2Cl6
_chemical_formula_sum 'Ti4 H8 Cl24'
_space_group_name_H-M_alt 'C 1 2/c 1'
_space_group_IT_number 15
_cell_length_a 14.065
_cell_length_b 12.828
_cell_length_c 5.923
_cell_angle_alpha 90.00
_cell_angle_beta 95.48
_cell_angle_gamma 90.00
loop_
_space_group_symop_operation_xyz
'x,y,z'
'-x,-y,-z'
'-x,y,-z+1/2'
'x,-y,z+1/2'
'x+1/2,y+1/2,z'
'-x+1/2,-y+1/2,-z'
'-x+1/2,y+1/2,-z+1/2'
'x+1/2,-y+1/2,z+1/2'
loop_
_atom_site_label
_atom_site_type_symbol
_atom_site_fract_x
_atom_site_fract_y
_atom_site_fract_z
Ti1 Ti 0.000 0.094 0.250
H1 H 0.135 0.477 0.453
Cl1 Cl 0.095 0.059 0.591
Cl2 Cl 0.102 0.205 0.125
Cl3 Cl 0.134 0.417 0.629
```

Computed properties:
- N(E_F) (states/eV per cell) = 0.00
- M_tot (μB/atom) = 0.0000
- final energy (eV/atom) = -3.94


Question: Number 2 is which compound?
Answer: TiH2Cl6